VASP calculation (PBE) on Tb2PrZn2Si2 after structural relaxation.

The space group is R-3m (No. 166, hexagonal axes) and the conventional cell measures 4.1053, 4.1053 and 34.0847 Å, with angles of 90.00, 90.00 and 120.00 degrees. The distinct sites, in fractional coordinates, are Tb at (0.0000, 0.0000, 0.1228), Pr at (0.0000, 0.0000, 0.0000), Zn at (0.0000, 0.0000, 0.3965) and Si at (0.0000, 0.0000, 0.2679).

Its magnetization is 0.000 μB/f.u. The calculation puts the total energy at -4.378 eV/atom. The formation energy without anion corrections comes out at -0.46 eV/atom.



VASP calculation (PBE) on Nd5Y2Ho12 after structural relaxation.

The space group is P-1 (No. 2) and the conventional cell measures 6.224, 8.843 and 11.731 Å, with angles of 93.38, 95.65 and 103.66 degrees. The distinct sites, in fractional coordinates, are Nd at (0.000, 0.000, 0.000), Nd at (0.226, 0.661, 0.004), Nd at (0.322, 0.924, 0.568), Y at (0.259, 0.333, 0.506), Ho at (0.094, 0.024, 0.300), Ho at (0.161, 0.623, 0.701), Ho at (0.248, 0.314, 0.838), Ho at (0.288, 0.694, 0.314), Ho at (0.317, 0.350, 0.166) and Ho at (0.459, 0.982, 0.852).

For the formation energy, the calculation gives 1.92 eV/f.u. Its magnetization is 0.000 μB/f.u. The calculation puts the total energy at -4.725 eV/atom. As for the energy above the lowest structure with this stoichiometry: 0 meV/atom.